The following is a DFT calculation (GGA-PBE) of crystalline SrTc3Se at its relaxed geometry.

abc: 4.6992 4.6992 4.6992
angles: 90.00 90.00 90.00
Last column: nearest neighbours and their distance in Å.
Element x y z (fractional)
Se 0.0000 0.0000 0.0000  6 Tc 2.35
Sr 0.5000 0.5000 0.5000  12 Tc 3.32
Tc 0.0000 0.0000 0.5000  2 Se 2.35
Tc 0.5000 0.0000 0.0000  2 Se 2.35
Tc 0.0000 0.5000 0.0000  2 Se 2.35

Values from the calculation:
Uncorrected formation energy in kJ/mol of atoms: 74.3
Total moment in μB per atom: 0.466
ρ in kg/m3: 7370
Distance to the lowest polymorph of the same formula in eV/atom: 0.0000

=====

The following is a DFT calculation (GGA-PBE) of crystalline SrCd2Br at its relaxed geometry.

abc: 4.3488 4.2896 7.3070
angles: 71.06 90.00 90.00
Last column: nearest neighbours and their distance in Å.
Element x y z (fractional)
Cd 0.5000 0.5014 0.1526  4 Cd 3.05-3.06, 1 Br 3.38
Br 0.5000 0.7122 0.6644  4 Sr 3.16, 1 Cd 3.38
Cd 0.0000 0.0087 0.1373  4 Cd 3.05-3.06
Sr 0.0000 0.2777 0.5457  4 Br 3.16, 3 Cd 3.48-3.53

Values from the calculation:
Uncorrected formation energy in kJ/mol of atoms: -66.3
Total moment in μB per atom: 0.000
ρ in kg/m3: 5053
Distance to the lowest polymorph of the same formula in eV/atom: 0.0022

=====

The following is a DFT calculation (GGA-PBE) of crystalline LaP2Au4 at its relaxed geometry.

abc: 4.3108 7.9746 7.9747
angles: 90.00 90.00 90.00
Last column: nearest neighbours and their distance in Å.
Element x y z (fractional)
La 0.0000 0.5000 0.5000  6 P 3.15-3.29, 8 Au 3.42
Au 0.5000 0.4264 0.8251  3 P 2.49-2.73
Au 0.5000 0.8251 0.4264  3 P 2.49-2.73
Au 0.5000 0.1749 0.5736  3 P 2.49-2.73
P 0.0000 0.7795 0.2205  6 Au 2.49-2.73
La 0.5000 0.0000 0.0000  6 P 3.15-3.29, 8 Au 3.42
P 0.5000 0.2795 0.2795  6 Au 2.49-2.73
Au 0.0000 0.6749 0.9264  3 P 2.49-2.73
P 0.0000 0.2205 0.7795  6 Au 2.49-2.73
Au 0.0000 0.9264 0.6749  3 P 2.49-2.73
P 0.5000 0.7205 0.7205  6 Au 2.49-2.73
Au 0.5000 0.5736 0.1749  3 P 2.49-2.73
Au 0.0000 0.3251 0.0736  3 P 2.49-2.73
Au 0.0000 0.0736 0.3251  3 P 2.49-2.73

Values from the calculation:
DFT formation energy in eV per atom: -0.40
Total moment in μB per atom: 0.000
ρ in kg/m3: 11978

=====

The following is a DFT calculation (GGA-PBE) of crystalline VCr2GaBr at its relaxed geometry.

abc: 4.5109 5.0670 4.5109
angles: 90.00 90.00 90.00
Last column: nearest neighbours and their distance in Å.
Element x y z (fractional)
Ga 0.0000 0.0000 0.0000  4 Cr 2.26
Cr 0.5000 0.0000 0.0000  2 Ga 2.26
Br 0.0000 0.5000 0.0000  2 Ga 2.53
V 0.5000 0.5000 0.5000  4 Br 3.19, 8 Cr 3.39
Cr 0.0000 0.0000 0.5000  2 Ga 2.26

Values from the calculation:
Uncorrected formation energy in kJ/mol of atoms: 196.2
Total moment in μB per atom: 0.106
ρ in kg/m3: 4905

=====

The following is a DFT calculation (GGA-PBE) of crystalline CrInBAs2 at its relaxed geometry.

abc: 5.2863 4.1196 5.2863
angles: 90.00 90.00 90.00
Last column: nearest neighbours and their distance in Å.
Element x y z (fractional)
As 0.5000 0.0000 0.0000  2 In 2.64
B 0.0000 0.5000 0.0000  2 In 2.06
In 0.0000 0.0000 0.0000  2 B 2.06
As 0.0000 0.0000 0.5000  2 In 2.64
Cr 0.5000 0.5000 0.5000  8 As 3.35, 4 B 3.74

Values from the calculation:
DFT formation energy in eV per atom: 1.92
Total moment in μB per atom: 0.026
ρ in kg/m3: 4723

=====

The following is a DFT calculation (GGA-PBE) of crystalline PmYGePt at its relaxed geometry.

abc: 5.0814 5.0814 5.0814
angles: 60.00 60.00 60.00
Last column: nearest neighbours and their distance in Å.
Element x y z (fractional)
Pm 0.7500 0.7500 0.7500  4 Pt 3.11, 4 Ge 3.11
Ge 0.0000 0.0000 0.0000  4 Y 3.11, 4 Pm 3.11
Y 0.2500 0.2500 0.2500  4 Ge 3.11, 4 Pt 3.11
Pt 0.5000 0.5000 0.5000  4 Pm 3.11, 4 Y 3.11

Values from the calculation:
DFT formation energy in eV per atom: -0.90
Total moment in μB per atom: 0.000
ρ in kg/m3: 8978
Distance to the lowest polymorph of the same formula in eV/atom: 0.1479

=====

The following is a DFT calculation (GGA-PBE) of crystalline SbTeN2O at its relaxed geometry.

abc: 4.1555 4.1555 3.9910
angles: 90.00 90.00 90.00
Last column: nearest neighbours and their distance in Å.
Element x y z (fractional)
Te 0.0000 0.0000 0.0000  2 O 2.00, 4 N 2.08
Sb 0.5000 0.5000 0.5000  8 N 2.88, 4 O 2.94
N 0.0000 0.5000 0.0000  2 Te 2.08
O 0.0000 0.0000 0.5000  2 Te 2.00
N 0.5000 0.0000 0.0000  2 Te 2.08

Values from the calculation:
Uncorrected formation energy in kJ/mol of atoms: 75.5
Total moment in μB per atom: 0.000
ρ in kg/m3: 7069

=====

The following is a DFT calculation (GGA-PBE) of crystalline CsIn2Hg7 at its relaxed geometry.

abc: 13.1054 13.1054 3.7604
angles: 90.00 90.00 150.70
Last column: nearest neighbours and their distance in Å.
Element x y z (fractional)
Hg 0.6246 0.8496 0.5000  5 Hg 3.14-3.49, 1 In 3.16
Hg 0.1854 0.8146 0.0000  2 In 3.04, 4 Hg 3.16
Hg 0.8146 0.1854 0.0000  2 In 3.04, 4 Hg 3.16
Hg 0.8496 0.6246 0.5000  5 Hg 3.14-3.49, 1 In 3.16
In 0.7205 0.2795 0.5000  4 Hg 3.04-3.16
In 0.2795 0.7205 0.5000  4 Hg 3.04-3.16
Hg 0.3754 0.1504 0.5000  5 Hg 3.14-3.49, 1 In 3.16
Hg 0.5000 0.5000 0.5000  4 Hg 3.26
Hg 0.1504 0.3754 0.5000  5 Hg 3.14-3.49, 1 In 3.16
Cs 0.0000 0.0000 0.0000  2 Cs 3.76, 12 Hg 3.81-3.83

Values from the calculation:
DFT formation energy in eV per atom: -0.04
Total moment in μB per atom: 0.000
ρ in kg/m3: 9280
Distance to the lowest polymorph of the same formula in eV/atom: 0.0000

=====

The following is a DFT calculation (GGA-PBE) of crystalline Yb2Mg at its relaxed geometry.

abc: 6.1340 6.1340 5.7694
angles: 90.00 90.00 121.02
Last column: nearest neighbours and their distance in Å.
Element x y z (fractional)
Mg 0.3265 0.3265 0.7500  10 Yb 3.43-3.62, 2 Mg 3.57
Yb 0.6564 0.9782 0.7500  5 Mg 3.43-3.62, 7 Yb 3.44-3.63
Mg 0.6735 0.6735 0.2500  10 Yb 3.43-3.62, 2 Mg 3.57
Yb 0.9782 0.6564 0.7500  5 Mg 3.43-3.62, 7 Yb 3.44-3.63
Yb 0.3436 0.0217 0.2500  5 Mg 3.43-3.62, 7 Yb 3.44-3.63
Yb 0.0217 0.3436 0.2500  5 Mg 3.43-3.62, 7 Yb 3.44-3.63

Values from the calculation:
DFT formation energy in eV per atom: -0.11
Total moment in μB per atom: 0.110
ρ in kg/m3: 6612

=====

The following is a DFT calculation (GGA-PBE) of crystalline Nd2Dy3Ho6 at its relaxed geometry.

abc: 4.7256 4.7256 16.9266
angles: 98.02 98.02 90.00
Last column: nearest neighbours and their distance in Å.
Element x y z (fractional)
Dy 0.7986 0.7986 0.5972  9 Ho 3.35-3.53
Dy 0.2014 0.2014 0.4028  9 Ho 3.35-3.53
Nd 0.5462 0.5462 0.0925  1 Nd 3.07
Ho 0.6957 0.6957 0.3913  5 Dy 3.35-3.42, 4 Ho 3.39
Nd 0.4538 0.4538 0.9075  1 Nd 3.07
Ho 0.3777 0.8777 0.7554  6 Ho 3.34-3.39, 2 Nd 3.46, 2 Dy 3.53
Ho 0.6223 0.1223 0.2446  6 Ho 3.34-3.39, 2 Nd 3.46, 2 Dy 3.53
Ho 0.8777 0.3777 0.7554  6 Ho 3.34-3.39, 2 Nd 3.46, 2 Dy 3.53
Ho 0.3043 0.3043 0.6087  5 Dy 3.35-3.42, 4 Ho 3.39
Dy 0.0000 0.0000 0.0000  8 Nd 3.68
Ho 0.1223 0.6223 0.2446  6 Ho 3.34-3.39, 2 Nd 3.46, 2 Dy 3.53

Values from the calculation:
DFT formation energy in eV per atom: 0.27
Total moment in μB per atom: 0.000
ρ in kg/m3: 7912
Distance to the lowest polymorph of the same formula in eV/atom: 0.0871

=====

The following is a DFT calculation (GGA-PBE) of crystalline In3FePb at its relaxed geometry.

abc: 5.0604 5.0604 5.0604
angles: 90.00 90.00 90.00
Last column: nearest neighbours and their distance in Å.
Element x y z (fractional)
Fe 0.0000 0.0000 0.0000  6 In 2.53
Pb 0.5000 0.5000 0.5000  12 In 3.58
In 0.5000 0.0000 0.0000  2 Fe 2.53
In 0.0000 0.0000 0.5000  2 Fe 2.53
In 0.0000 0.5000 0.0000  2 Fe 2.53

Values from the calculation:
DFT formation energy in eV per atom: 0.23
Total moment in μB per atom: 0.316
ρ in kg/m3: 7785
Distance to the lowest polymorph of the same formula in eV/atom: 0.0000

=====

The following is a DFT calculation (GGA-PBE) of crystalline LaIn2SnSe4 at its relaxed geometry.

abc: 4.3173 7.6191 7.5458
angles: 70.82 90.00 90.00
Last column: nearest neighbours and their distance in Å.
Element x y z (fractional)
La 0.0000 0.5000 0.5000  6 Se 3.00-3.02
Se 0.0000 0.2606 0.2509  1 La 3.02, 2 Sn 3.05, 3 In 3.11-3.16
In 0.5000 0.0000 0.5000  6 Se 3.11-3.14
Sn 0.5000 0.5000 0.0000  6 Se 3.04-3.05
In 0.0000 0.0000 0.0000  6 Se 3.16
Se 0.0000 0.7394 0.7491  1 La 3.02, 2 Sn 3.05, 3 In 3.11-3.16
Se 0.5000 0.7333 0.2591  2 La 3.00, 1 Sn 3.04, 3 In 3.14-3.16
Se 0.5000 0.2667 0.7409  2 La 3.00, 1 Sn 3.04, 3 In 3.14-3.16

Values from the calculation:
Uncorrected formation energy in kJ/mol of atoms: -81.9
Total moment in μB per atom: 0.000
ρ in kg/m3: 5689